Record 1
Entry from the Alexandria database: crystalline ScIn at its relaxed geometry (GGA-PBEsol).

Output
Size of the total moment ... 0.001 μB/f.u.
Volume ... 46 Å³/f.u.
Total energy ... -5.03 eV per atom
Symmetry ... P4/nmm (129)

Cell and atoms, written as POSCAR:
```
ScIn
1.0
3.822 0.000 0.000
0.000 3.822 0.000
0.000 0.000 6.237
Sc In
2 2
direct
0.250 0.250 0.129
0.750 0.750 0.871
0.250 0.250 0.633
0.750 0.750 0.367
```

---

Record 2
Entry from the Alexandria database: crystalline Sc4In at its relaxed geometry (GGA-PBEsol).

Output
Size of the total moment ... 0.001 μB/f.u.
Volume ... 112 Å³/f.u.
Total energy ... -6.08 eV per atom
Symmetry ... I4/m (87)

Cell and atoms, written as POSCAR:
```
Sc4In
1.0
-3.550 3.550 2.222
3.550 -3.550 2.222
3.550 3.550 -2.222
Sc In
4 1
direct
0.108 0.695 0.803
0.305 0.108 0.413
0.695 0.892 0.587
0.892 0.305 0.197
0.500 0.500 0.000
```

---

Record 3
Entry from the Alexandria database: crystalline Sc8In at its relaxed geometry (GGA-PBEsol).

Output
Size of the total moment ... 0.006 μB/f.u.
Volume ... 207 Å³/f.u.
Total energy ... -6.30 eV per atom
Symmetry ... I4/mmm (139)

Cell and atoms, written as POSCAR:
```
Sc8In
1.0
-4.816 4.816 2.229
4.816 -4.816 2.229
4.816 4.816 -2.229
Sc In
8 1
direct
0.000 0.335 0.335
0.000 0.665 0.665
0.335 0.000 0.335
0.337 0.337 0.674
0.337 0.663 0.000
0.663 0.337 0.000
0.663 0.663 0.326
0.665 0.000 0.665
0.000 0.000 0.000
```

---

Record 4
Entry from the Alexandria database: crystalline ScIn3 at its relaxed geometry (GGA-PBEsol).

Output
Size of the total moment ... 0.000 μB/f.u.
Volume ... 91 Å³/f.u.
Total energy ... -4.17 eV per atom
Symmetry ... Cmmm (65)

Cell and atoms, written as POSCAR:
```
ScIn3
1.0
3.084 -4.424 0.000
3.084 4.424 0.000
0.000 0.000 3.330
Sc In
1 3
direct
0.000 0.000 0.000
0.000 0.500 0.500
0.500 0.000 0.500
0.500 0.500 0.000
```

---

Record 5
Entry from the Alexandria database: crystalline ScIn3 at its relaxed geometry (GGA-PBEsol).

Output
Size of the total moment ... 0.000 μB/f.u.
Volume ... 89 Å³/f.u.
Total energy ... -4.20 eV per atom
Symmetry ... Pmmn (59)

Cell and atoms, written as POSCAR:
```
ScIn3
1.0
6.117 0.000 0.000
0.000 15.199 0.000
0.000 0.000 5.728
Sc In
6 18
direct
0.250 0.087 0.144
0.250 0.413 0.144
0.250 0.750 0.575
0.750 0.250 0.425
0.750 0.587 0.856
0.750 0.913 0.856
0.002 0.585 0.354
0.002 0.915 0.354
0.005 0.750 0.061
0.250 0.250 0.448
0.250 0.581 0.854
0.250 0.919 0.854
0.495 0.750 0.061
0.498 0.585 0.354
0.498 0.915 0.354
0.502 0.085 0.646
0.502 0.415 0.646
0.505 0.250 0.939
0.750 0.081 0.146
0.750 0.419 0.146
0.750 0.750 0.552
0.995 0.250 0.939
0.998 0.085 0.646
0.998 0.415 0.646
```

---

Record 6
Entry from the Alexandria database: crystalline ScIn3 at its relaxed geometry (GGA-PBEsol).

Output
Size of the total moment ... 0.000 μB/f.u.
Volume ... 92 Å³/f.u.
Total energy ... -4.16 eV per atom
Symmetry ... Imm2 (44)

Cell and atoms, written as POSCAR:
```
ScIn3
1.0
-1.696 5.191 2.599
1.696 -5.191 2.599
1.696 5.191 -2.599
Sc In
1 3
direct
0.000 0.000 0.000
0.084 0.340 0.744
0.486 0.986 0.500
0.597 0.340 0.256
```

---

Record 7
Entry from the Alexandria database: crystalline Sc3In at its relaxed geometry (GGA-PBEsol).

Output
Size of the total moment ... 0.003 μB/f.u.
Volume ... 88 Å³/f.u.
Energy above the most stable polymorph in this dataset ... 19.1 kJ/mol of formula units
Symmetry ... I4/mmm (139)

Cell and atoms, written as POSCAR:
```
Sc3In
1.0
-2.169 2.169 4.699
2.169 -2.169 4.699
2.169 2.169 -4.699
Sc In
3 1
direct
0.000 0.000 0.000
0.250 0.750 0.500
0.750 0.250 0.500
0.500 0.500 0.000
```

---

Record 8
Entry from the Alexandria database: crystalline ScIn2 at its relaxed geometry (GGA-PBEsol).

Output
Size of the total moment ... 0.000 μB/f.u.
Volume ... 79 Å³/f.u.
Total energy ... -4.42 eV per atom
Symmetry ... P4/mmm (123)

Cell and atoms, written as POSCAR:
```
ScIn2
1.0
4.881 0.000 0.000
0.000 4.881 0.000
0.000 0.000 3.296
Sc In
1 2
direct
0.000 0.000 0.000
0.000 0.500 0.500
0.500 0.000 0.500
```